<P>
ZrTl2Cl5 | PBE | relaxed

Values from the calculation:
- Volume: 1215.37 Å³/cell
- D(E_F): 0.194 states/eV/atom

Cell: 5.119 16.721 14.201 Å, 90.00 90.00 90.00°
Space group Cmcm (No. 63)
Inequivalent atoms, fractional coordinates:
Zr 0.000 0.153 0.250
Tl 0.000 0.139 0.564
Cl 0.000 0.046 0.123
Cl 0.000 0.260 0.119
Cl 0.000 0.342 0.750

---

<Q>
ZrTl2Cl5 | PBE | relaxed

Values from the calculation:
- Volume: 583.58 Å³/cell

Cell: 10.981 8.196 7.461 Å, 90.00 119.65 90.00°
Space group Cm (No. 8)
Inequivalent atoms, fractional coordinates:
Zr 0.000 0.000 0.000
Tl 0.246 0.000 0.682
Tl 0.263 0.500 0.207
Cl 0.048 0.208 0.278
Cl 0.100 0.216 0.870
Cl 0.274 0.500 0.698

---

Of them, <Q> has the lowest stability.

---

<P>
VWCl3 | PBE | relaxed

Values from the calculation:
- Volume: 111.35 Å³/cell
- D(E_F): 2.438 states/eV/atom

Cell: 4.811 4.811 4.811 Å, 90.00 90.00 90.00°
Space group Pm-3m (No. 221)
Inequivalent atoms, fractional coordinates:
V 0.000 0.000 0.000
W 0.500 0.500 0.500
Cl 0.000 0.500 0.500

---

<Q>
VWCl3 | PBE | relaxed

Values from the calculation:
- Volume: 115.52 Å³/cell
- D(E_F): 1.430 states/eV/atom

Cell: 4.870 4.870 4.870 Å, 90.00 90.00 90.00°
Space group Pm-3m (No. 221)
Inequivalent atoms, fractional coordinates:
V 0.000 0.000 0.000
W 0.500 0.500 0.500
Cl 0.000 0.000 0.500

---

Of them, <P> has the lowest stability.

---

<P>
YVCl3 | PBE | relaxed

Values from the calculation:
- Volume: 149.40 Å³/cell
- D(E_F): 2.338 states/eV/atom

Cell: 5.306 5.306 5.306 Å, 90.00 90.00 90.00°
Space group Pm-3m (No. 221)
Inequivalent atoms, fractional coordinates:
Y 0.000 0.000 0.000
V 0.500 0.500 0.500
Cl 0.000 0.000 0.500

---

<Q>
YVCl3 | PBE | relaxed

Values from the calculation:
- Volume: 117.35 Å³/cell
- D(E_F): 1.006 states/eV/atom

Cell: 4.896 4.896 4.896 Å, 90.00 90.00 90.00°
Space group Pm-3m (No. 221)
Inequivalent atoms, fractional coordinates:
Y 0.000 0.000 0.000
V 0.500 0.500 0.500
Cl 0.000 0.500 0.500

---

Of them, <Q> has the lowest stability.

---

<P>
YV3Cl | PBE | relaxed

Values from the calculation:
- Volume: 86.53 Å³/cell
- D(E_F): 1.448 states/eV/atom

Cell: 4.423 4.423 4.423 Å, 90.00 90.00 90.00°
Space group Pm-3m (No. 221)
Inequivalent atoms, fractional coordinates:
Y 0.000 0.000 0.000
V 0.000 0.500 0.500
Cl 0.500 0.500 0.500

---

<Q>
YV3Cl | PBE | relaxed

Values from the calculation:
- Volume: 126.31 Å³/cell
- D(E_F): 1.717 states/eV/atom

Cell: 5.017 5.017 5.017 Å, 90.00 90.00 90.00°
Space group Pm-3m (No. 221)
Inequivalent atoms, fractional coordinates:
Y 0.000 0.000 0.000
V 0.000 0.000 0.500
Cl 0.500 0.500 0.500

---

Of them, <Q> has the lowest stability.

---

<P>
VZn2Cl | PBE | relaxed

Values from the calculation:
- Volume: 312.90 Å³/cell
- D(E_F): 1.137 states/eV/atom

Cell: 6.789 6.789 6.789 Å, 90.00 90.00 90.00°
Space group Fm-3m (No. 225)
Inequivalent atoms, fractional coordinates:
V 0.000 0.000 0.000
Zn 0.250 0.250 0.250
Cl 0.000 0.000 0.500

---

<Q>
VZn2Cl | PBE | relaxed

Values from the calculation:
- Volume: 303.64 Å³/cell
- D(E_F): 0.583 states/eV/atom

Cell: 7.708 7.708 5.111 Å, 90.00 90.00 90.00°
Space group I-42d (No. 122)
Inequivalent atoms, fractional coordinates:
V 0.000 0.000 0.000
Zn 0.244 0.250 0.125
Cl 0.000 0.000 0.500

---

Of them, <P> has the lowest stability.

---

<P>
VZnCl3 | PBE | relaxed

Values from the calculation:
- Volume: 114.29 Å³/cell
- D(E_F): 1.868 states/eV/atom

Cell: 4.853 4.853 4.853 Å, 90.00 90.00 90.00°
Space group Pm-3m (No. 221)
Inequivalent atoms, fractional coordinates:
V 0.000 0.000 0.000
Zn 0.500 0.500 0.500
Cl 0.000 0.500 0.500

---

<Q>
VZnCl3 | PBE | relaxed

Values from the calculation:
- Volume: 114.62 Å³/cell
- D(E_F): 0.707 states/eV/atom

Cell: 4.858 4.858 4.858 Å, 90.00 90.00 90.00°
Space group Pm-3m (No. 221)
Inequivalent atoms, fractional coordinates:
V 0.000 0.000 0.000
Zn 0.500 0.500 0.500
Cl 0.000 0.000 0.500

---

Of them, <P> has the lowest stability.

---

<P>
VZn3Cl | PBE | relaxed

Values from the calculation:
- Volume: 112.93 Å³/cell
- D(E_F): 0.870 states/eV/atom

Cell: 4.834 4.834 4.834 Å, 90.00 90.00 90.00°
Space group Pm-3m (No. 221)
Inequivalent atoms, fractional coordinates:
V 0.000 0.000 0.000
Zn 0.000 0.500 0.500
Cl 0.500 0.500 0.500

---

<Q>
VZn3Cl | PBE | relaxed

Values from the calculation:
- Volume: 134.76 Å³/cell
- D(E_F): 1.609 states/eV/atom

Cell: 5.127 5.127 5.127 Å, 90.00 90.00 90.00°
Space group Pm-3m (No. 221)
Inequivalent atoms, fractional coordinates:
V 0.000 0.000 0.000
Zn 0.000 0.000 0.500
Cl 0.500 0.500 0.500

---

Of them, <P> has the lowest stability.

---

<P>
ZrVCl3 | PBE | relaxed

Values from the calculation:
- Volume: 128.91 Å³/cell
- D(E_F): 1.858 states/eV/atom

Cell: 5.052 5.052 5.052 Å, 90.00 90.00 90.00°
Space group Pm-3m (No. 221)
Inequivalent atoms, fractional coordinates:
Zr 0.000 0.000 0.000
V 0.500 0.500 0.500
Cl 0.000 0.000 0.500

---

<Q>
ZrVCl3 | PBE | relaxed

Values from the calculation:
- Volume: 114.80 Å³/cell
- D(E_F): 1.600 states/eV/atom

Cell: 4.860 4.860 4.860 Å, 90.00 90.00 90.00°
Space group Pm-3m (No. 221)
Inequivalent atoms, fractional coordinates:
Zr 0.000 0.000 0.000
V 0.500 0.500 0.500
Cl 0.000 0.500 0.500

---

Of them, <Q> has the lowest stability.